Here is a relaxed structure of LiTh2Hg4 from the Alexandria database. Energies are from PBE-GGA.

As for the excess energy over the best structure of this formula in the dataset: 0.061 eV per atom. The calculation puts the electronic total energy at -2.6296 eV/atom. The value obtained for the formation energy is -6 kJ/mol of atoms.

Cell: 4.743 4.743 8.735 Å, 105.75 105.75 90.00°
Element x y z (fractional)
1 Li 0.000 0.000 0.000
2 Th 0.354 0.354 0.708
3 Th 0.646 0.646 0.292
4 Hg 0.837 0.837 0.673
5 Hg 0.163 0.163 0.327
6 Hg 0.000 0.500 0.000
7 Hg 0.500 0.000 0.000